NiHgOs2, PBEsol geometry, DFT SCAN; formation energy = 0.545 eV/atom; N(E_F) = 0.73 states/eV/atom
1.0
-1.366 2.182 4.910
1.366 -2.182 4.910
1.366 2.182 -4.910
Ni Hg Os
1 1 2
Cartesian
0.000 0.000 0.000
0.000 0.000 4.910
1.366 0.000 2.114
0.000 2.182 2.795